Entry 1:
TlAg3SnTe4 | PBE-GGA | optimized geometry

a b c (Å): 6.7023 8.2257 10.7762
angles (deg): 90.00 105.16 90.00
Space group P2_1/m (No. 11)
One atom of each set of equivalent atoms:
Tl (0.2311, 0.2500, 0.0584) x2
Ag (0.2154, 0.0580, 0.5270) x4
Ag (0.3288, 0.2500, 0.7658) x2
Sn (0.2056, 0.7500, 0.2846) x2
Te (0.0571, 0.5245, 0.7360) x4
Te (0.3003, 0.7500, 0.0474) x2
Te (0.4789, 0.7500, 0.5382) x2

Calculated values
E = -28.4 eV/f.u.
Volume = 573.45 Å³/cell
Crystal system = monoclinic

---

Entry 2:
BaOs2F12 | PBE-GGA | optimized geometry

a b c (Å): 4.8910 5.1963 8.5739
angles (deg): 76.12 78.65 62.51
Space group P1 (No. 1)
One atom of each set of equivalent atoms:
Ba (0.0000, 0.0000, 0.0000) x1
Os (0.3160, 0.3007, 0.2631) x1
Os (0.4835, 0.4980, 0.6734) x1
F (0.0532, 0.7276, 0.6660) x1
F (0.1229, 0.1371, 0.4373) x1
F (0.1919, 0.6408, 0.3489) x1
F (0.3721, 0.2843, 0.8767) x1
F (0.4424, 0.9710, 0.1537) x1
F (0.4814, 0.7726, 0.7911) x1
F (0.4927, 0.4889, 0.0738) x1
F (0.4959, 0.2033, 0.5804) x1
F (0.6239, 0.6696, 0.4772) x1
F (0.7285, 0.1088, 0.3140) x1
F (0.9107, 0.2677, 0.7156) x1
F (0.9495, 0.4926, 0.1493) x1

Calculated values
Size of the total moment = 6.00 μB/f.u.
E = -78.0 eV/f.u.
Volume = 186.71 Å³/cell
Crystal system = triclinic

---

Entry 3:
Pm2ErIn2 | PBE-GGA | optimized geometry

a b c (Å): 7.6865 10.8041 3.5156
angles (deg): 90.00 90.00 90.00
Space group Pbam (No. 55)
One atom of each set of equivalent atoms:
Pm (0.1552, 0.1974, 0.0000) x4
Er (0.0000, 0.5000, 0.0000) x2
In (0.1693, 0.9310, 0.5000) x4

Calculated values
Size of the total moment = 0.05 μB/f.u.
E = -21.0 eV/f.u.
Volume = 291.96 Å³/cell
Crystal system = orthorhombic

---

Entry 4:
GdDyCo2Si4 | PBE-GGA | optimized geometry

a b c (Å): 3.9722 4.0328 16.2734
angles (deg): 90.00 90.00 90.00
Space group Amm2 (No. 38)
One atom of each set of equivalent atoms:
Gd (0.0000, 0.0000, 0.0000) x2
Dy (0.5000, 0.0000, 0.2156) x2
Co (0.0000, 0.0000, 0.7866) x2
Co (0.5000, 0.0000, 0.4282) x2
Si (0.0000, 0.0000, 0.3569) x2
Si (0.0000, 0.0000, 0.6507) x2
Si (0.5000, 0.0000, 0.5651) x2
Si (0.5000, 0.0000, 0.8574) x2

Calculated values
Size of the total moment = 0.00 μB/f.u.
E = -51.5 eV/f.u.
Volume = 260.69 Å³/cell
Crystal system = orthorhombic

---

Entry 5:
Sc2PdPb | PBE-GGA | optimized geometry

a b c (Å): 6.9125 6.9125 6.9125
angles (deg): 90.00 90.00 90.00
Space group F-43m (No. 216)
One atom of each set of equivalent atoms:
Sc (0.0000, 0.0000, 0.0000) x4
Sc (0.2500, 0.2500, 0.2500) x4
Pd (0.2500, 0.2500, 0.7500) x4
Pb (0.0000, 0.0000, 0.5000) x4

Calculated values
Size of the total moment = 1.97 μB/f.u.
E = -22.7 eV/f.u.
Volume = 330.30 Å³/cell
Crystal system = cubic

---

Entry 6:
TlCuSiS3 | PBE-GGA | optimized geometry

a b c (Å): 14.2820 3.5353 9.7471
angles (deg): 90.00 90.00 90.00
Space group Pnma (No. 62)
One atom of each set of equivalent atoms:
Tl (0.2190, 0.2500, 0.0038) x4
Cu (0.0240, 0.7500, 0.0785) x4
Si (0.0137, 0.2500, 0.3498) x4
S (0.0760, 0.7500, 0.8459) x4
S (0.0835, 0.2500, 0.5610) x4
S (0.1117, 0.7500, 0.2746) x4

Calculated values
E = -26.1 eV/f.u.
Volume = 492.15 Å³/cell
Crystal system = orthorhombic